Model one:
# HfPbSCl2 GGA-PBE relaxed
data_HfPbSCl2
_chemical_formula_sum 'Hf1 Pb1 S1 Cl2'
_symmetry_space_group_name_H-M 'P 4/m m m'
_symmetry_Int_Tables_number 123
_symmetry_space_group_name_Hall '-P 4 2'
_cell_length_a 5.380
_cell_length_b 5.380
_cell_length_c 5.492
_cell_angle_alpha 90.00
_cell_angle_beta 90.00
_cell_angle_gamma 90.00
loop_
_atom_site_label
_atom_site_type_symbol
_atom_site_fract_x
_atom_site_fract_y
_atom_site_fract_z
Hf1 Hf 0.000 0.000 0.000
Pb1 Pb 0.500 0.500 0.500
S1 S 0.500 0.500 0.000
Cl1 Cl 0.000 0.500 0.500
# Crystal system = tetragonal
# Mass density = 5.11 g/cm3

---

Model two:
# HfPbSCl2 GGA-PBE relaxed
data_HfPbSCl2
_chemical_formula_sum 'Hf1 Pb1 S1 Cl2'
_symmetry_space_group_name_H-M 'P 4/m m m'
_symmetry_Int_Tables_number 123
_symmetry_space_group_name_Hall '-P 4 2'
_cell_length_a 5.198
_cell_length_b 5.198
_cell_length_c 5.223
_cell_angle_alpha 90.00
_cell_angle_beta 90.00
_cell_angle_gamma 90.00
loop_
_atom_site_label
_atom_site_type_symbol
_atom_site_fract_x
_atom_site_fract_y
_atom_site_fract_z
Hf1 Hf 0.000 0.000 0.000
Pb1 Pb 0.500 0.500 0.500
S1 S 0.000 0.000 0.500
Cl1 Cl 0.000 0.500 0.000
# Crystal system = tetragonal
# Mass density = 5.75 g/cm3

---

Most favorable structure: model two. The second most favorable one is 107.8 kJ/mol of atoms above it.

---

Model one:
# Hf2Pd2Cl GGA-PBE relaxed
data_Hf2Pd2Cl
_chemical_formula_sum 'Hf4 Pd4 Cl2'
_symmetry_space_group_name_H-M 'I 4/m m m'
_symmetry_Int_Tables_number 139
_symmetry_space_group_name_Hall '-I 4 2'
_cell_length_a 4.648
_cell_length_b 4.648
_cell_length_c 10.432
_cell_angle_alpha 90.00
_cell_angle_beta 90.00
_cell_angle_gamma 90.00
loop_
_atom_site_label
_atom_site_type_symbol
_atom_site_fract_x
_atom_site_fract_y
_atom_site_fract_z
Hf1 Hf 0.000 0.500 0.250
Pd1 Pd 0.000 0.000 0.124
Cl1 Cl 0.000 0.000 0.500
# Crystal system = tetragonal
# Mass density = 8.92 g/cm3

---

Model two:
# Hf2Pd2Cl GGA-PBE relaxed
data_Hf2Pd2Cl
_chemical_formula_sum 'Hf4 Pd4 Cl2'
_symmetry_space_group_name_H-M 'P 4/m b m'
_symmetry_Int_Tables_number 127
_symmetry_space_group_name_Hall '-P 4 2ab'
_cell_length_a 7.849
_cell_length_b 7.849
_cell_length_c 3.179
_cell_angle_alpha 90.00
_cell_angle_beta 90.00
_cell_angle_gamma 90.00
loop_
_atom_site_label
_atom_site_type_symbol
_atom_site_fract_x
_atom_site_fract_y
_atom_site_fract_z
Hf1 Hf 0.158 0.342 0.000
Pd1 Pd 0.133 0.633 0.500
Cl1 Cl 0.000 0.000 0.500
# Crystal system = tetragonal
# Mass density = 10.26 g/cm3

---

Most favorable structure: model two. The second most favorable one is 22.5 kJ/mol of atoms above it.

---

Model one:
# Hf2PdCl GGA-PBE relaxed
data_Hf2PdCl
_chemical_formula_sum 'Hf8 Pd4 Cl4'
_symmetry_space_group_name_H-M 'F m -3 m'
_symmetry_Int_Tables_number 225
_symmetry_space_group_name_Hall '-F 4 2 3'
_cell_length_a 6.667
_cell_length_b 6.667
_cell_length_c 6.667
_cell_angle_alpha 90.00
_cell_angle_beta 90.00
_cell_angle_gamma 90.00
loop_
_atom_site_label
_atom_site_type_symbol
_atom_site_fract_x
_atom_site_fract_y
_atom_site_fract_z
Hf1 Hf 0.250 0.250 0.250
Pd1 Pd 0.000 0.000 0.000
Cl1 Cl 0.000 0.000 0.500
# Crystal system = cubic
# Mass density = 11.18 g/cm3

---

Model two:
# Hf2PdCl GGA-PBE relaxed
data_Hf2PdCl
_chemical_formula_sum 'Hf8 Pd4 Cl4'
_symmetry_space_group_name_H-M 'I -4 2 d'
_symmetry_Int_Tables_number 122
_symmetry_space_group_name_Hall 'I -4 2bw'
_cell_length_a 4.920
_cell_length_b 4.920
_cell_length_c 15.127
_cell_angle_alpha 90.00
_cell_angle_beta 90.00
_cell_angle_gamma 90.00
loop_
_atom_site_label
_atom_site_type_symbol
_atom_site_fract_x
_atom_site_fract_y
_atom_site_fract_z
Hf1 Hf 0.230 0.250 0.125
Pd1 Pd 0.000 0.000 0.500
Cl1 Cl 0.000 0.000 0.000
# Crystal system = tetragonal
# Mass density = 9.05 g/cm3

---

Most favorable structure: model one. The second most favorable one is 33.5 kJ/mol of atoms above it.